PmDySc2 | PBE | optimized geometry

It has space group P4/mmm (No. 123), with a = 3.5193 Å, b = 3.5193 Å, c = 9.1905 Å, α = 90.00°, β = 90.00° and γ = 90.00°. The distinct sites, in fractional coordinates, are Pm at (0.0000, 0.0000, 0.0000), Dy at (0.0000, 0.0000, 0.5000) and Sc at (0.5000, 0.5000, 0.2531).

The energy relative to the lowest polymorph listed for this composition is 0.28 kJ/mol of atoms.

Pm2DySc | PBE | optimized geometry

It has space group Pmmn (No. 59, origin choice 2), with a = 3.3768 Å, b = 5.6883 Å, c = 13.0702 Å, α = 90.00°, β = 90.00° and γ = 90.00°. The distinct sites, in fractional coordinates, are Pm at (0.2500, 0.2500, 0.1859), Pm at (0.2500, 0.7500, 0.3074), Dy at (0.2500, 0.7500, 0.5695) and Sc at (0.2500, 0.7500, 0.0407).

The energy relative to the lowest polymorph listed for this composition is 14.81 kJ/mol of atoms.

Pm7Dy12Sc | PBE | optimized geometry

It has space group Im-3m (No. 229), with a = 11.2854 Å, b = 11.2854 Å, c = 11.2854 Å, α = 90.00°, β = 90.00° and γ = 90.00°. The distinct sites, in fractional coordinates, are Pm at (0.0000, 0.0000, 0.5000), Pm at (0.2500, 0.2500, 0.2500), Dy at (0.0000, 0.2429, 0.2429) and Sc at (0.0000, 0.0000, 0.0000).

The energy relative to the lowest polymorph listed for this composition is 40.50 kJ/mol of atoms.

no.,ΔH_f (0 K) (meV per atom),mass density (g/cm³),E_tot (eV per atom)
1,54,5.8,-5.450
2,192,6.6,-4.916
3,679,7.0,-4.062